1.
First-principles (PBE-GGA) data for an optimized crystal structure of Li5Pd5Pb2, as listed in Alexandria via LeMat-Bulk.

abc: 4.4491 6.8475 7.3648
angles: 101.10 72.42 71.04
Fractional positions:
1 Pd 0.0000 0.5000 0.5000
2 Pd 0.6594 0.7573 0.9240
3 Pd 0.3322 0.9991 0.3366
4 Pd 0.3406 0.2427 0.0760
5 Pd 0.6679 0.0009 0.6634
6 Li 0.0000 0.0000 0.0000
7 Li 0.9765 0.7760 0.2710
8 Li 0.3086 0.7828 0.6000
9 Li 0.0235 0.2240 0.7290
10 Li 0.6914 0.2172 0.4000
11 Pb 0.3613 0.4820 0.7955
12 Pb 0.6387 0.5180 0.2045

Results
The value obtained for the energy relative to the lowest polymorph listed for this composition is 22.9 meV per atom. The total magnetization is 0.00 μB/f.u. As for the density of states at the Fermi level: 4.53 states/eV/f.u. The energy relative to the elements comes out at -367 meV/atom.

2.
First-principles (PBE-GGA) data for an optimized crystal structure of SmTmAu, as listed in Alexandria via LeMat-Bulk.

abc: 3.9323 4.8891 4.8891
angles: 120.00 90.00 90.00
Fractional positions:
1 Au 0.2797 0.3333 0.6667
2 Sm 0.6203 0.6667 0.3333
3 Tm 0.0999 0.0000 0.0000

Results
The value obtained for the energy relative to the lowest polymorph listed for this composition is 212.9 meV per atom. The total magnetization is 0.00 μB/f.u. As for the density of states at the Fermi level: 2.59 states/eV/f.u. The energy relative to the elements comes out at -414 meV/atom.

3.
First-principles (PBE-GGA) data for an optimized crystal structure of Ac4Hg2IrS, as listed in Alexandria via LeMat-Bulk.

abc: 4.3588 7.7661 8.3607
angles: 106.83 90.00 90.00
Fractional positions:
1 Ac 0.0000 0.7238 0.2080
2 Ac 0.5000 0.2537 0.2133
3 Ac 0.0000 0.2762 0.7920
4 Ac 0.5000 0.7463 0.7867
5 Hg 0.0000 0.5000 0.5000
6 Hg 0.5000 0.0000 0.5000
7 S 0.0000 0.0000 0.0000
8 Ir 0.5000 0.5000 0.0000

Results
The total magnetization is 0.00 μB/f.u. As for the density of states at the Fermi level: 7.53 states/eV/f.u. As for the energy relative to the elements, uncorrected: -0.862 eV per atom.

4.
First-principles (PBE-GGA) data for an optimized crystal structure of PaTcNiGe, as listed in Alexandria via LeMat-Bulk.

abc: 3.3432 4.5108 4.9574
angles: 90.00 90.00 90.00
Fractional positions:
1 Tc 0.0000 0.0000 0.5000
2 Ni 0.0000 0.5000 0.0000
3 Pa 0.5000 0.5000 0.5000
4 Ge 0.0000 0.0000 0.0000

Results
The value obtained for the energy relative to the lowest polymorph listed for this composition is 129.0 meV per atom. The total magnetization is 0.00 μB/f.u. As for the density of states at the Fermi level: 3.87 states/eV/f.u. The energy relative to the elements comes out at -49 meV/atom.

5.
First-principles (PBE-GGA) data for an optimized crystal structure of KCNO2, as listed in Alexandria via LeMat-Bulk.

abc: 5.2592 5.2592 5.3995
angles: 90.00 90.00 90.00
Last column: magnetic moment on the atom in μB.
Fractional positions:
1 C 0.5000 0.5000 0.5000  0.97
2 N 0.0000 0.0000 0.5000  1.95
3 K 0.0000 0.0000 0.0000  0.03
4 O 0.0000 0.5000 0.0000  -1.17
5 O 0.5000 0.0000 0.0000  -1.17

Results
The total magnetization is 2.01 μB/f.u. As for the density of states at the Fermi level: 4.83 states/eV/f.u. As for the energy relative to the elements, uncorrected: 2.894 eV per atom.

6.
First-principles (PBE-GGA) data for an optimized crystal structure of CsInAs, as listed in Alexandria via LeMat-Bulk.

abc: 7.8357 7.0076 8.6626
angles: 112.18 90.00 90.00
Fractional positions:
1 As 0.1276 0.0781 0.2109
2 As 0.6276 0.4219 0.2891
3 As 0.8724 0.9219 0.7891
4 As 0.3724 0.5781 0.7109
5 In 0.9031 0.2757 0.0667
6 In 0.4031 0.2243 0.4333
7 In 0.0969 0.7243 0.9333
8 In 0.5969 0.7757 0.5667
9 Cs 0.1237 0.7001 0.4038
10 Cs 0.8763 0.2999 0.5962
11 Cs 0.6237 0.7999 0.0962
12 Cs 0.3763 0.2001 0.9038

Results
The total magnetization is 0.00 μB/f.u. As for the density of states at the Fermi level: 0.55 states/eV/f.u. The energy relative to the elements comes out at -334 meV/atom.